The following is a PBE calculation of a relaxed structure of PmDy2Y4, from Alexandria via LeMat-Bulk.

```
PmDy2Y4
1.0
3.531 -0.256 0.323
-2.639 8.362 -3.577
0.931 -1.177 8.423
Pm Dy Y
1 2 4
Direct
0.000 0.000 0.000
0.360 0.430 0.140
0.640 0.570 0.860
0.410 0.706 0.590
0.809 0.166 0.717
0.590 0.294 0.410
0.191 0.834 0.283
```

Computed properties:
Energy relative to the lowest polymorph listed for this composition, meV per atom: 0.0

***

The following is a PBE calculation of a relaxed structure of PmDy3Y6, from Alexandria via LeMat-Bulk.

```
PmDy3Y6
1.0
6.267 0.000 0.000
0.000 10.851 -1.600
0.000 -3.981 10.221
Pm Dy Y
2 6 12
Direct
0.154 0.205 0.795
0.654 0.795 0.205
0.454 0.937 0.717
0.954 0.717 0.937
0.072 0.389 0.611
0.572 0.611 0.389
0.954 0.063 0.283
0.454 0.283 0.063
0.036 0.710 0.619
0.536 0.619 0.710
0.363 0.539 0.956
0.863 0.956 0.539
0.404 0.953 0.047
0.651 0.281 0.719
0.151 0.719 0.281
0.904 0.047 0.953
0.363 0.044 0.461
0.863 0.461 0.044
0.036 0.381 0.290
0.536 0.290 0.381
```

Computed properties:
Energy relative to the lowest polymorph listed for this composition, meV per atom: 28.9

***

The following is a PBE calculation of a relaxed structure of Pm3Dy6Y, from Alexandria via LeMat-Bulk.

```
Pm3Dy6Y
1.0
-2.549 -4.743 -3.459
5.318 3.569 -8.814
4.654 -7.314 6.598
Pm Dy Y
6 12 2
Direct
0.468 0.937 0.708
0.968 0.708 0.937
0.075 0.387 0.613
0.575 0.613 0.387
0.968 0.063 0.292
0.468 0.292 0.063
0.051 0.715 0.624
0.551 0.624 0.715
0.368 0.525 0.945
0.868 0.945 0.525
0.357 0.965 0.035
0.654 0.271 0.729
0.154 0.729 0.271
0.857 0.035 0.965
0.368 0.055 0.475
0.868 0.475 0.055
0.051 0.376 0.285
0.551 0.285 0.376
0.124 0.190 0.810
0.624 0.810 0.190
```

Computed properties:
Energy relative to the lowest polymorph listed for this composition, meV per atom: 0.0

***

The following is a PBE calculation of a relaxed structure of Pm2Dy3Y4, from Alexandria via LeMat-Bulk.

```
Pm2Dy3Y4
1.0
5.809 1.661 1.189
2.302 11.061 0.762
2.302 4.285 10.226
Pm Dy Y
4 6 8
Direct
0.420 0.234 0.523
0.080 0.477 0.766
0.580 0.766 0.477
0.920 0.523 0.234
0.762 0.067 0.263
0.738 0.737 0.933
0.238 0.933 0.737
0.262 0.263 0.067
0.250 0.595 0.405
0.750 0.405 0.595
0.422 0.905 0.188
0.078 0.812 0.095
0.578 0.095 0.812
0.922 0.188 0.905
0.080 0.148 0.423
0.420 0.577 0.852
0.920 0.852 0.577
0.580 0.423 0.148
```

***

The following is a PBE calculation of a relaxed structure of PmDy4Y5, from Alexandria via LeMat-Bulk.

```
PmDy4Y5
1.0
6.740 -0.251 -0.093
3.137 5.429 -0.599
2.909 -0.723 8.739
Pm Dy Y
1 4 5
Direct
0.253 0.929 0.949
0.451 0.333 0.748
0.650 0.734 0.550
0.252 0.268 0.450
0.452 0.669 0.252
0.853 0.463 0.850
0.051 0.865 0.648
0.850 0.137 0.350
0.051 0.535 0.152
0.649 0.067 0.050
```

***

The following is a PBE calculation of a relaxed structure of Pm3Dy12Y, from Alexandria via LeMat-Bulk.

```
Pm3Dy12Y
1.0
5.042 0.000 0.000
0.000 5.042 0.000
0.000 0.000 20.163
Pm Dy Y
3 12 1
Direct
0.000 0.000 0.250
0.000 0.000 0.500
0.000 0.000 0.750
0.500 0.500 0.000
0.500 0.500 0.249
0.500 0.500 0.500
0.500 0.500 0.751
0.500 0.000 0.124
0.500 0.000 0.375
0.500 0.000 0.625
0.500 0.000 0.876
0.000 0.500 0.124
0.000 0.500 0.375
0.000 0.500 0.625
0.000 0.500 0.876
0.000 0.000 0.000
```

***

The following is a PBE calculation of a relaxed structure of Pm5Dy4Y3, from Alexandria via LeMat-Bulk.

```
Pm5Dy4Y3
1.0
5.816 0.000 0.000
2.908 4.872 -0.588
2.908 1.609 14.068
Pm Dy Y
5 4 3
Direct
0.669 0.664 0.998
0.500 0.500 0.500
0.199 0.348 0.253
0.801 0.652 0.747
0.331 0.336 0.002
0.063 0.998 0.876
0.182 0.994 0.643
0.818 0.006 0.357
0.937 0.002 0.124
0.458 0.334 0.749
0.000 0.500 0.500
0.542 0.666 0.251
```

Computed properties:
Energy relative to the lowest polymorph listed for this composition, meV per atom: 213.6

***

The following is a PBE calculation of a relaxed structure of Pm3DyY12, from Alexandria via LeMat-Bulk.

```
Pm3DyY12
1.0
5.068 0.000 0.000
0.000 5.068 0.000
0.000 0.000 20.280
Pm Dy Y
3 1 12
Direct
0.000 0.000 0.249
0.000 0.000 0.500
0.000 0.000 0.751
0.000 0.000 0.000
0.500 0.500 0.000
0.500 0.500 0.249
0.500 0.500 0.500
0.500 0.500 0.751
0.500 0.000 0.124
0.500 0.000 0.374
0.500 0.000 0.626
0.500 0.000 0.876
0.000 0.500 0.124
0.000 0.500 0.374
0.000 0.500 0.626
0.000 0.500 0.876
```

***

The following is a PBE calculation of a relaxed structure of PmDy10Y4, from Alexandria via LeMat-Bulk.

```
PmDy10Y4
1.0
9.580 0.000 4.326
4.790 6.864 2.163
1.965 0.000 8.418
Pm Dy Y
1 10 4
Direct
0.000 0.000 0.000
0.250 0.500 0.500
0.547 0.326 0.899
0.127 0.101 0.326
0.554 0.899 0.674
0.772 0.674 0.101
0.453 0.674 0.101
0.750 0.500 0.500
0.228 0.326 0.899
0.446 0.101 0.326
0.873 0.899 0.674
0.334 0.734 0.598
0.932 0.402 0.734
0.068 0.598 0.266
0.666 0.266 0.402
```

***

The following is a PBE calculation of a relaxed structure of PmDy5Y5, from Alexandria via LeMat-Bulk.

```
PmDy5Y5
1.0
6.607 -1.731 1.192
-1.144 6.822 4.739
-1.082 1.652 9.307
Pm Dy Y
1 5 5
Direct
0.000 0.000 0.000
0.136 0.488 0.153
0.246 0.068 0.649
0.500 0.000 0.000
0.754 0.932 0.351
0.864 0.512 0.847
0.277 0.030 0.320
0.360 0.519 0.784
0.000 0.500 0.500
0.640 0.481 0.216
0.723 0.970 0.680
```

Computed properties:
Energy relative to the lowest polymorph listed for this composition, meV per atom: 0.0

***

The following is a PBE calculation of a relaxed structure of Pm2Dy3Y6, from Alexandria via LeMat-Bulk.

```
Pm2Dy3Y6
1.0
-0.747 3.050 3.549
-3.156 -2.982 1.898
14.171 -7.337 6.121
Pm Dy Y
2 3 6
Direct
0.455 0.455 0.909
0.545 0.545 0.091
0.000 0.000 0.000
0.801 0.801 0.602
0.199 0.199 0.398
0.122 0.622 0.243
0.622 0.122 0.243
0.878 0.378 0.757
0.378 0.878 0.757
0.699 0.699 0.397
0.301 0.301 0.603
```

Computed properties:
Energy relative to the lowest polymorph listed for this composition, meV per atom: 93.8

***

The following is a PBE calculation of a relaxed structure of PmDy2Y7, from Alexandria via LeMat-Bulk.

```
PmDy2Y7
1.0
-1.530 1.396 5.266
-8.706 0.479 -2.657
3.686 -7.730 3.120
Pm Dy Y
1 2 7
Direct
0.000 0.000 0.000
0.500 0.703 0.297
0.500 0.297 0.703
0.000 0.777 0.223
0.000 0.223 0.777
0.500 0.061 0.294
0.500 0.939 0.706
0.500 0.294 0.061
0.500 0.706 0.939
0.500 0.500 0.500
```

Computed properties:
Energy relative to the lowest polymorph listed for this composition, meV per atom: 479.5

***

no.,calculated density (kg/m3),ΔE_f (eV/f.u.)
1,6027,0.20
2,5910,1.44
3,7574,1.51
4,6451,0.83
5,6316,0.06
6,8013,0.30
7,6746,2.74
8,5305,0.35
9,7128,5.15
10,6382,1.62
11,5784,3.12
12,4553,6.96